# NpGa2Cu, optimized geometry, DFT PBE
# Fermi-level density of states, states/eV per cell: 3.14
# E_form, kJ/mol of formula units: -9
# Calculated total energy, eV/cell: -23.19
# Space group: P4/mmm (123)
data_NpGa2Cu
_chemical_formula_sum 'Np1 Ga2 Cu1'
_cell_length_a 2.661
_cell_length_b 2.661
_cell_length_c 8.690
_cell_angle_alpha 90.00
_cell_angle_beta 90.00
_cell_angle_gamma 90.00
_space_group_name_H-M_alt 'P 1'
_space_group_IT_number 1
loop_
_space_group_symop_operation_xyz
'x,y,z'
loop_
_atom_site_label
_atom_site_type_symbol
_atom_site_fract_x
_atom_site_fract_y
_atom_site_fract_z
_atom_site_occupancy
Np1 Np 0.000 0.000 0.000 1
Ga1 Ga 0.500 0.500 0.279 1
Ga2 Ga 0.500 0.500 0.721 1
Cu1 Cu 0.000 0.000 0.500 1